# PBE with a Hubbard U Ac2AgMoO6, relaxed
data_Ac2AgMoO6
_chemical_formula_sum 'Ac2 Ag1 Mo1 O6'
_symmetry_space_group_name_H-M 'P 1'
_symmetry_Int_Tables_number 1
_cell_length_a 5.6261
_cell_length_b 5.6261
_cell_length_c 5.3951
_cell_angle_alpha 90.00
_cell_angle_beta 90.00
_cell_angle_gamma 90.00
loop_
_symmetry_equiv_pos_as_xyz
'x,y,z'
loop_
_atom_site_label
_atom_site_type_symbol
_atom_site_fract_x
_atom_site_fract_y
_atom_site_fract_z
Ac1 Ac 0.0000 0.5000 0.0000
Ac2 Ac 0.5000 0.0000 0.0000
Ag1 Ag 0.0000 0.0000 0.5021
Mo1 Mo 0.5000 0.5000 0.5867
O1 O 0.0000 0.0000 0.1036
O2 O 0.2736 0.2736 0.7310
O3 O 0.2736 0.7264 0.7310
O4 O 0.5000 0.5000 0.2416
O5 O 0.7264 0.2736 0.7310
O6 O 0.7264 0.7264 0.7310
# Magnetization: 0.95 Bohr magnetons per cell
# ρ: 7.330 g cm⁻³
# Total DFT energy (no corrections): -6.989 eV per atom